[1]
RbRe2Rh | PBE | optimized geometry

The energy above the most stable polymorph in this dataset comes out at 0.0 meV/atom. As for the size of the total moment: 0.000 μB/atom. The formation energy comes out at 7.8 eV per formula unit. The value obtained for the total DFT energy (no corrections) is -50.814 eV per cell. The density of states at the Fermi level is 5.4 states/eV per cell.

Cell: 7.8472 7.8472 6.1762 Å, 50.56 50.56 90.00°
Element x y z (fractional)
Rb: 0.2500 0.7500 0.5000
Re: 0.0599 0.6250 0.2500
Re: 0.6901 0.1250 0.2500
Rh: 0.0000 0.0000 0.0000
Rb: 0.5000 0.5000 0.0000
Re: 0.3750 0.3099 0.7500
Re: 0.8750 0.9401 0.7500
Rh: 0.7500 0.2500 0.5000

***

[2]
RbRe2Rh | PBE | optimized geometry

The energy above the most stable polymorph in this dataset comes out at 73.1 meV/atom. As for the size of the total moment: 0.000 μB/atom. The formation energy comes out at 8.1 eV per formula unit. The value obtained for the total DFT energy (no corrections) is -25.115 eV per cell. The density of states at the Fermi level is 3.2 states/eV per cell.

Cell: 4.5872 4.5872 4.5872 Å, 60.00 60.00 60.00°
Element x y z (fractional)
Rb: 0.0000 0.0000 0.0000
Re: 0.7500 0.7500 0.7500
Rh: 0.5000 0.5000 0.5000
Re: 0.2500 0.2500 0.2500

***

[3]
RbRe3Rh | PBE | optimized geometry

The energy above the most stable polymorph in this dataset comes out at 1674.5 meV/atom. As for the size of the total moment: 0.000 μB/atom. The formation energy comes out at 20.5 eV per formula unit. The value obtained for the total DFT energy (no corrections) is -25.184 eV per cell. The density of states at the Fermi level is 5.7 states/eV per cell.

Cell: 4.5936 4.5936 4.5936 Å, 90.00 90.00 90.00°
Element x y z (fractional)
Re: 0.5000 0.0000 0.0000
Rh: 0.5000 0.5000 0.5000
Re: 0.0000 0.5000 0.0000
Re: 0.0000 0.0000 0.5000
Rb: 0.0000 0.0000 0.0000

***

[4]
RbRe3Rh | PBE | optimized geometry

The energy above the most stable polymorph in this dataset comes out at 0.0 meV/atom. As for the size of the total moment: 0.630 μB/atom. The formation energy comes out at 12.1 eV per formula unit. The value obtained for the total DFT energy (no corrections) is -33.556 eV per cell. The density of states at the Fermi level is 5.5 states/eV per cell.

Cell: 4.8574 4.8574 4.8574 Å, 90.00 90.00 90.00°
Each line ends with the local moment (μB).
Element x y z (fractional)
Rb: 0.5000 0.5000 0.5000  0.02
Re: 0.0000 0.5000 0.0000  0.97
Re: 0.0000 0.0000 0.5000  1.00
Rh: 0.0000 0.0000 0.0000  0.02
Re: 0.5000 0.0000 0.0000  0.69

***

[5]
Rb3ReRh | PBE | optimized geometry

The energy above the most stable polymorph in this dataset comes out at 0.0 meV/atom. As for the size of the total moment: 0.962 μB/atom. The formation energy comes out at 8.8 eV per formula unit. The value obtained for the total DFT energy (no corrections) is -13.909 eV per cell. The density of states at the Fermi level is 5.4 states/eV per cell.

Cell: 6.1698 6.1698 6.1698 Å, 90.00 90.00 90.00°
Each line ends with the local moment (μB).
Element x y z (fractional)
Rb: 0.5000 0.0000 0.0000  0.00
Re: 0.5000 0.5000 0.5000  3.58
Rh: 0.0000 0.0000 0.0000  0.41
Rb: 0.0000 0.0000 0.5000  0.00
Rb: 0.0000 0.5000 0.0000  0.00

***

[6]
Rb3ReRh3S8 | PBE | optimized geometry

As for the size of the total moment: 0.187 μB/atom. The value obtained for the total DFT energy (no corrections) is -79.605 eV per cell. The density of states at the Fermi level is 3.8 states/eV per cell. For the uncorrected formation energy, the calculation gives -9.18 eV/f.u.

Cell: 7.3339 7.3345 8.4793 Å, 115.59 90.00 120.06°
Each line ends with the local moment (μB).
Element x y z (fractional)
S: 0.2231 0.9404 0.6635  0.03
Rh: 0.5000 0.5000 0.5000  0.08
S: 0.2809 0.5617 0.3427  0.01
Rb: 0.0000 0.0000 0.0000  0.00
S: 0.2829 0.0596 0.3364  0.03
S: 0.7767 0.5533 0.3363  0.03
S: 0.2233 0.4467 0.6637  0.03
Re: 0.0000 0.0000 0.5000  1.92
Rh: 0.0000 0.5000 0.5000  0.07
Rb: 0.5000 0.5000 0.0000  0.00
S: 0.7191 0.4383 0.6573  0.01
Rb: 0.0000 0.5000 0.0000  0.00
S: 0.7171 0.9404 0.6636  0.03
Rh: 0.5000 0.0000 0.5000  0.07
S: 0.7769 0.0596 0.3365  0.03

***

[7]
RbRe2SnRh | PBE | optimized geometry

As for the size of the total moment: 0.239 μB/atom. The formation energy comes out at 18.4 eV per formula unit. The value obtained for the total DFT energy (no corrections) is -18.822 eV per cell. The density of states at the Fermi level is 7.5 states/eV per cell.

Cell: 4.6913 5.3570 4.6913 Å, 90.00 90.00 90.00°
Each line ends with the local moment (μB).
Element x y z (fractional)
Rb: 0.0000 0.0000 0.0000  0.01
Re: 0.5000 0.0000 0.0000  0.61
Re: 0.0000 0.0000 0.5000  0.42
Sn: 0.0000 0.5000 0.0000  -0.03
Rh: 0.5000 0.5000 0.5000  0.06

***

[8]
RbSrReRh2 | PBE | optimized geometry

As for the size of the total moment: 0.000 μB/atom. The formation energy comes out at 4.6 eV per formula unit. The value obtained for the total DFT energy (no corrections) is -25.198 eV per cell. The density of states at the Fermi level is 4.3 states/eV per cell.

Cell: 4.8564 5.5662 4.8564 Å, 90.00 90.00 90.00°
Element x y z (fractional)
Re: 0.0000 0.0000 0.0000
Rb: 0.0000 0.5000 0.0000
Sr: 0.5000 0.5000 0.5000
Rh: 0.0000 0.0000 0.5000
Rh: 0.5000 0.0000 0.0000

***

[9]
RbReTe2Rh | PBE | optimized geometry

As for the size of the total moment: 0.691 μB/atom. The value obtained for the total DFT energy (no corrections) is -23.339 eV per cell. The density of states at the Fermi level is 4.3 states/eV per cell. For the uncorrected formation energy, the calculation gives 3.71 eV/f.u.

Cell: 5.5566 4.8648 5.5566 Å, 90.00 90.00 90.00°
Each line ends with the local moment (μB).
Element x y z (fractional)
Te: 0.5000 0.0000 0.0000  0.04
Rb: 0.5000 0.5000 0.5000  0.01
Re: 0.0000 0.5000 0.0000  2.62
Te: 0.0000 0.0000 0.5000  0.03
Rh: 0.0000 0.0000 0.0000  0.04

***

[10]
RbRe3Ru | PBE | optimized geometry

The energy above the most stable polymorph in this dataset comes out at 0.0 meV/atom. As for the size of the total moment: 0.557 μB/atom. The formation energy comes out at 11.4 eV per formula unit. The value obtained for the total DFT energy (no corrections) is -36.192 eV per cell. The density of states at the Fermi level is 4.9 states/eV per cell.

Cell: 4.8339 4.8339 4.8339 Å, 90.00 90.00 90.00°
Each line ends with the local moment (μB).
Element x y z (fractional)
Re: 0.5000 0.0000 0.0000  0.60
Rb: 0.5000 0.5000 0.5000  0.02
Re: 0.0000 0.5000 0.0000  0.87
Ru: 0.0000 0.0000 0.0000  -0.05
Re: 0.0000 0.0000 0.5000  0.95

***

[11]
Rb2ReRu | PBE | optimized geometry

The energy above the most stable polymorph in this dataset comes out at 996.0 meV/atom. As for the size of the total moment: 1.737 μB/atom. The formation energy comes out at 10.1 eV per formula unit. The value obtained for the total DFT energy (no corrections) is -13.516 eV per cell. The density of states at the Fermi level is 1.1 states/eV per cell.

Cell: 5.7698 5.7698 5.7698 Å, 60.00 60.00 60.00°
Each line ends with the local moment (μB).
Element x y z (fractional)
Rb: 0.7500 0.7500 0.7500  0.02
Ru: 0.0000 0.0000 0.0000  2.40
Re: 0.5000 0.5000 0.5000  3.46
Rb: 0.2500 0.2500 0.2500  0.02

***

[12]
RbRe2Ru | PBE | optimized geometry

The energy above the most stable polymorph in this dataset comes out at 14.3 meV/atom. As for the size of the total moment: 0.000 μB/atom. The formation energy comes out at 8.0 eV per formula unit. The value obtained for the total DFT energy (no corrections) is -27.169 eV per cell. The density of states at the Fermi level is 2.0 states/eV per cell.

Cell: 4.5724 4.5724 4.5724 Å, 60.00 60.00 60.00°
Element x y z (fractional)
Ru: 0.5000 0.5000 0.5000
Re: 0.7500 0.7500 0.7500
Rb: 0.0000 0.0000 0.0000
Re: 0.2500 0.2500 0.2500

***

[13]
RbRe2Ru | PBE | optimized geometry

The energy above the most stable polymorph in this dataset comes out at 0.0 meV/atom. As for the size of the total moment: 0.000 μB/atom. The formation energy comes out at 7.9 eV per formula unit. The value obtained for the total DFT energy (no corrections) is -54.452 eV per cell. The density of states at the Fermi level is 10.2 states/eV per cell.

Cell: 7.6750 7.6750 6.1360 Å, 51.29 51.29 90.00°
Element x y z (fractional)
Re: 0.6945 0.1250 0.2500
Re: 0.3750 0.3055 0.7500
Ru: 0.0000 0.0000 0.0000
Rb: 0.2500 0.7500 0.5000
Rb: 0.5000 0.5000 0.0000
Re: 0.0555 0.6250 0.2500
Ru: 0.7500 0.2500 0.5000
Re: 0.8750 0.9445 0.7500

***

[14]
Rb2ReRu | PBE | optimized geometry

The energy above the most stable polymorph in this dataset comes out at 0.0 meV/atom. As for the size of the total moment: 0.848 μB/atom. The formation energy comes out at 6.2 eV per formula unit. The value obtained for the total DFT energy (no corrections) is -34.999 eV per cell. The density of states at the Fermi level is 8.6 states/eV per cell.

Cell: 12.8327 12.8327 9.3698 Å, 46.78 46.78 90.00°
Each line ends with the local moment (μB).
Element x y z (fractional)
Ru: 0.2500 0.7500 0.5000  0.62
Rb: 0.3045 0.6250 0.2500  0.01
Re: 0.7500 0.2500 0.5000  1.93
Rb: 0.4455 0.1250 0.2500  0.01
Re: 0.0000 0.0000 0.0000  1.93
Ru: 0.5000 0.5000 0.0000  0.62
Rb: 0.3750 0.5545 0.7500  0.01
Rb: 0.8750 0.6955 0.7500  0.01